(1)
VASP calculation (PBE-GGA) on an optimized crystal structure of YHoPt.

Values from the calculation:
Volume, Å³ per cell: 76
VASP energy, Ry per atom: -0.422
DFT formation energy, eV per atom: -0.0491
ΔE to the lowest computed polymorph, meV/atom: 910
Symmetry: No. 216

Cell: 4.7569 4.7569 4.7569 Å, 60.00 60.00 60.00°
With the nearest neighbours (Å) after each atom.
Fractional positions:
Pt1 0.5000 0.5000 0.5000  4 Y 2.91
Y1 0.2500 0.2500 0.2500  4 Pt 2.91, 4 Ho 2.91
Ho1 0.0000 0.0000 0.0000  4 Y 2.91

---

(2)
VASP calculation (PBE-GGA) on an optimized crystal structure of YHoPt.

Values from the calculation:
Volume, Å³ per cell: 299
VASP energy, Ry per atom: -0.488
DFT formation energy, eV per atom: -0.9421
ΔE to the lowest computed polymorph, meV/atom: 17
Symmetry: No. 62

Cell: 7.1141 4.7740 8.8092 Å, 90.00 90.00 90.00°
With the nearest neighbours (Å) after each atom.
Fractional positions:
Y1 0.6440 0.2500 0.4182  4 Pt 2.90-2.96
Y2 0.8560 0.7500 0.9182  4 Pt 2.90-2.96
Y3 0.1440 0.2500 0.0818  4 Pt 2.90-2.96
Y4 0.3560 0.7500 0.5818  4 Pt 2.90-2.96
Pt1 0.7369 0.2500 0.0930  3 Ho 2.80-3.03, 4 Y 2.90-2.96
Pt2 0.2369 0.2500 0.4070  3 Ho 2.80-3.03, 4 Y 2.90-2.96
Pt3 0.7631 0.7500 0.5930  3 Ho 2.80-3.03, 4 Y 2.90-2.96
Pt4 0.2631 0.7500 0.9070  3 Ho 2.80-3.03, 4 Y 2.90-2.96
Ho1 0.5099 0.2500 0.8334  3 Pt 2.80-3.03
Ho2 0.4901 0.7500 0.1666  3 Pt 2.80-3.03
Ho3 0.0099 0.2500 0.6666  3 Pt 2.80-3.03
Ho4 0.9901 0.7500 0.3334  3 Pt 2.80-3.03

---

(3)
VASP calculation (PBE-GGA) on an optimized crystal structure of YHo3Pt4.

Values from the calculation:
Volume, Å³ per cell: 175
VASP energy, Ry per atom: -0.503
DFT formation energy, eV per atom: -1.2915
Symmetry: No. 6

Cell: 5.5618 4.4955 6.9976 Å, 90.00 90.22 90.00°
With the nearest neighbours (Å) after each atom.
Fractional positions:
Pt1 0.1558 0.5000 0.9584  5 Ho 2.87-3.03, 2 Pt 2.91, 2 Y 2.97
Pt2 0.6547 0.0000 0.5430  2 Y 2.87-3.02, 2 Pt 2.90, 5 Ho 2.96-3.01
Pt3 0.3463 0.5000 0.4530  5 Ho 2.86-3.03, 2 Pt 2.90, 2 Y 2.99
Pt4 0.8433 0.0000 0.0461  6 Ho 2.85-3.02, 2 Pt 2.91, 1 Y 3.04
Y1 0.1404 0.0000 0.6817  7 Pt 2.87-3.04
Ho1 0.8595 0.5000 0.3179  7 Pt 2.86-3.01
Ho2 0.6402 0.5000 0.8183  7 Pt 2.87-3.03
Ho3 0.3598 0.0000 0.1816  7 Pt 2.85-3.02

---

(4)
VASP calculation (PBE-GGA) on an optimized crystal structure of YHoPt2.

Values from the calculation:
Volume, Å³ per cell: 176
VASP energy, Ry per atom: -0.520
DFT formation energy, eV per atom: -1.2804
Symmetry: No. 26

Cell: 4.4988 5.5681 7.0237 Å, 90.00 90.00 90.00°
With the nearest neighbours (Å) after each atom.
Fractional positions:
Pt1 0.0000 0.5965 0.4560  3 Ho 2.88-3.02, 2 Pt 2.90, 4 Y 2.96-2.98
Pt2 0.0000 0.4035 0.9560  3 Ho 2.88-3.02, 2 Pt 2.90, 4 Y 2.96-2.98
Pt3 0.5000 0.9052 0.5444  3 Y 2.87-3.03, 2 Pt 2.90, 4 Ho 2.96-2.98
Pt4 0.5000 0.0948 0.0444  3 Y 2.87-3.03, 2 Pt 2.90, 4 Ho 2.96-2.98
Ho1 0.0000 0.8903 0.8179  7 Pt 2.88-3.02
Ho2 0.0000 0.1097 0.3179  7 Pt 2.88-3.02
Y1 0.5000 0.3902 0.6816  7 Pt 2.87-3.03
Y2 0.5000 0.6098 0.1816  7 Pt 2.87-3.03

---

(5)
VASP calculation (PBE-GGA) on an optimized crystal structure of YHoPt.

Values from the calculation:
Volume, Å³ per cell: 298
VASP energy, Ry per atom: -0.489
DFT formation energy, eV per atom: -0.9587
ΔE to the lowest computed polymorph, meV/atom: 0
Symmetry: No. 62

Cell: 7.1421 4.7628 8.7516 Å, 90.00 90.00 90.00°
With the nearest neighbours (Å) after each atom.
Fractional positions:
Y1 0.5102 0.2500 0.6691  3 Pt 2.85-3.07
Y2 0.9898 0.7500 0.1691  3 Pt 2.85-3.07
Y3 0.0102 0.2500 0.8309  3 Pt 2.85-3.07
Y4 0.4898 0.7500 0.3309  3 Pt 2.85-3.07
Ho1 0.1443 0.2500 0.4203  4 Pt 2.86-2.94
Ho2 0.6443 0.2500 0.0797  4 Pt 2.86-2.94
Ho3 0.8557 0.7500 0.5797  4 Pt 2.86-2.94
Ho4 0.3557 0.7500 0.9203  4 Pt 2.86-2.94
Pt1 0.2552 0.7500 0.5940  3 Y 2.85-3.07, 4 Ho 2.86-2.94
Pt2 0.2448 0.2500 0.0940  3 Y 2.85-3.07, 4 Ho 2.86-2.94
Pt3 0.7552 0.7500 0.9060  3 Y 2.85-3.07, 4 Ho 2.86-2.94
Pt4 0.7448 0.2500 0.4060  3 Y 2.85-3.07, 4 Ho 2.86-2.94

---

(6)
VASP calculation (PBE-GGA) on an optimized crystal structure of HoZn4Pt2.

Values from the calculation:
Volume, Å³ per cell: 239
VASP energy, Ry per atom: -0.276
DFT formation energy, eV per atom: -0.6540
Symmetry: No. 136

Cell: 7.4737 7.4737 4.2817 Å, 90.00 90.00 90.00°
With the nearest neighbours (Å) after each atom.
Fractional positions:
Zn1 0.3990 0.1456 0.0000  3 Pt 2.57-2.60, 6 Zn 2.65-2.84
Zn2 0.1010 0.6456 0.5000  3 Pt 2.57-2.60, 6 Zn 2.65-2.84
Zn3 0.1456 0.3990 0.0000  3 Pt 2.57-2.60, 6 Zn 2.65-2.84
Zn4 0.3544 0.8990 0.5000  3 Pt 2.57-2.60, 6 Zn 2.65-2.84
Zn5 0.6456 0.1010 0.5000  3 Pt 2.57-2.60, 6 Zn 2.65-2.84
Zn6 0.6010 0.8544 0.0000  3 Pt 2.57-2.60, 6 Zn 2.65-2.84
Zn7 0.8544 0.6010 0.0000  3 Pt 2.57-2.60, 6 Zn 2.65-2.84
Zn8 0.8990 0.3544 0.5000  3 Pt 2.57-2.60, 6 Zn 2.65-2.84
Pt1 0.7877 0.7877 0.5000  6 Zn 2.57-2.60
Pt2 0.7123 0.2877 0.0000  6 Zn 2.57-2.60
Pt3 0.2877 0.7123 0.0000  6 Zn 2.57-2.60
Pt4 0.2123 0.2123 0.5000  6 Zn 2.57-2.60
Ho1 0.5000 0.5000 0.5000  6 Pt 3.04-3.10, 4 Zn 3.17
Ho2 0.0000 0.0000 0.0000  6 Pt 3.04-3.10, 4 Zn 3.17

---

(7)
VASP calculation (PBE-GGA) on an optimized crystal structure of HoZn2Pt3.

Values from the calculation:
Volume, Å³ per cell: 205
VASP energy, Ry per atom: -0.371
DFT formation energy, eV per atom: -0.8394
Symmetry: No. 194

Cell: 4.3989 4.3989 12.2627 Å, 90.00 90.00 120.00°
With the nearest neighbours (Å) after each atom.
Fractional positions:
Pt1 0.3333 0.6667 0.3690  4 Zn 2.61-2.62, 1 Pt 2.92
Pt2 0.0000 0.0000 0.5000  6 Zn 2.74, 6 Pt 3.00
Pt3 0.6667 0.3333 0.8690  4 Zn 2.61-2.62, 1 Pt 2.92
Pt4 0.3333 0.6667 0.1310  4 Zn 2.61-2.62, 1 Pt 2.92
Pt5 0.6667 0.3333 0.6310  4 Zn 2.61-2.62, 1 Pt 2.92
Pt6 0.0000 0.0000 0.0000  6 Zn 2.74, 6 Pt 3.00
Zn1 0.6667 0.3333 0.4171  7 Pt 2.61-2.74
Zn2 0.3333 0.6667 0.5829  7 Pt 2.61-2.74
Zn3 0.3333 0.6667 0.9171  7 Pt 2.61-2.74
Zn4 0.6667 0.3333 0.0829  7 Pt 2.61-2.74
Ho1 0.0000 0.0000 0.7500  8 Pt 2.93-3.07, 6 Zn 3.26
Ho2 0.0000 0.0000 0.2500  8 Pt 2.93-3.07, 6 Zn 3.26

---

(8)
VASP calculation (PBE-GGA) on an optimized crystal structure of Ho2Zn3Pt4.

Values from the calculation:
Volume, Å³ per cell: 321
VASP energy, Ry per atom: -0.370
DFT formation energy, eV per atom: -0.9075
Symmetry: No. 64

Cell: 8.0920 8.0920 7.5696 Å, 90.00 90.00 139.69°
With the nearest neighbours (Å) after each atom.
Fractional positions:
Pt1 0.1917 0.3083 0.7500  3 Zn 2.51-2.59, 2 Pt 2.79
Pt2 0.1765 0.8235 0.5276  5 Zn 2.61-2.69
Pt3 0.8235 0.1765 0.4724  5 Zn 2.61-2.69
Pt4 0.6765 0.3235 0.9724  5 Zn 2.61-2.69
Pt5 0.6917 0.8083 0.7500  3 Zn 2.51-2.59, 2 Pt 2.79
Pt6 0.3083 0.1917 0.2500  3 Zn 2.51-2.59, 2 Pt 2.79
Pt7 0.3235 0.6765 0.0276  5 Zn 2.61-2.69
Pt8 0.8083 0.6917 0.2500  3 Zn 2.51-2.59, 2 Pt 2.79
Zn1 0.9790 0.5210 0.2500  5 Pt 2.59-2.64, 2 Zn 2.79
Zn2 0.5000 0.5000 0.0000  6 Pt 2.51-2.69
Zn3 0.5210 0.9790 0.7500  5 Pt 2.59-2.64, 2 Zn 2.79
Zn4 0.4790 0.0210 0.2500  5 Pt 2.59-2.64, 2 Zn 2.79
Zn5 0.0210 0.4790 0.7500  5 Pt 2.59-2.64, 2 Zn 2.79
Zn6 0.0000 0.0000 0.5000  6 Pt 2.51-2.69
Ho1 0.3898 0.6102 0.4130  8 Pt 3.00-3.35, 4 Zn 3.07-3.32
Ho2 0.6102 0.3898 0.5870  8 Pt 3.00-3.35, 4 Zn 3.07-3.32
Ho3 0.1102 0.8898 0.9130  8 Pt 3.00-3.35, 4 Zn 3.07-3.32
Ho4 0.8898 0.1102 0.0870  8 Pt 3.00-3.35, 4 Zn 3.07-3.32